{"formula": "Cs", "functional": "SCAN", "state": "PBEsol geometry", "total_energy_ev_per_fu": -37.81, "delta_e_f_mev_per_atom": 4.1, "dos_at_fermi_per_ev_cell": 2.29, "mass_density_g_cm3": 2.05, "space_group": "Cmcm", "cell": [[2.6615, -4.6623, 0.0000], [2.6615, 4.6623, 0.0000], [0.0000, 0.0000, 8.6829]], "species": ["Cs", "Cs"], "fractional_positions": [[0.1614, 0.8386, 0.7500], [0.8386, 0.1614, 0.2500]]}